No. 1
## ScTl2GaI6 (PBE-GGA)

Data for ScTl2GaI6 after structural relaxation.

abc: 8.3932 8.3932 21.1295
angles: 90.00 90.00 120.00
Space group R3 (No. 146, hexagonal axes)
Asymmetric unit:
Sc  0.0000  0.0000  0.0000 x3
Tl  0.0000  0.0000  0.3015 x3
Tl  0.0000  0.0000  0.7919 x3
Ga  0.0000  0.0000  0.5061 x3
I  0.0212  0.4181  0.7437 x9
I  0.0827  0.7185  0.5837 x9

## Properties
**Uncorrected formation energy**: -0.81 eV per atom



No. 2
## ScZnGa2I (PBE-GGA)

Data for ScZnGa2I after structural relaxation.

abc: 5.517 5.517 5.572
angles: 90.00 90.00 90.00
Space group P4/mmm (No. 123)
Asymmetric unit:
Sc  0.000  0.000  0.000 x1
Zn  0.500  0.500  0.500 x1
Ga  0.000  0.500  0.000 x2
I  0.000  0.000  0.500 x1

## Properties
**Uncorrected formation energy**: 0.29 eV per atom



No. 3
## GaSeI2 (PBE-GGA)

Data for GaSeI2 after structural relaxation.

abc: 10.981 7.003 3.997
angles: 90.00 111.24 90.00
Space group C2 (No. 5)
Asymmetric unit:
Ga  0.000  0.000  0.000 x2
Se  0.000  0.212  0.500 x2
I  0.184  0.741  0.185 x4

## Properties
**Uncorrected formation energy**: -0.29 eV per atom



No. 4
## GaSeI (PBE-GGA)

Data for GaSeI after structural relaxation.

abc: 3.963 3.963 7.738
angles: 75.98 89.69 60.02
Space group P1 (No. 1)
Asymmetric unit:
Ga  0.000  0.000  0.000 x1
Se  0.623  0.758  0.854 x1
I  0.101  0.793  0.335 x1

## Properties
**Uncorrected formation energy**: -0.50 eV per atom



No. 5
## Ga2SeI8 (PBE-GGA)

Data for Ga2SeI8 after structural relaxation.

abc: 14.653 10.242 7.737
angles: 90.00 97.68 90.00
Space group C2/m (No. 12)
Asymmetric unit:
Ga  0.217  0.000  0.205 x4
Se  0.000  0.000  0.000 x2
I  0.110  0.500  0.723 x4
I  0.129  0.202  0.295 x8
I  0.164  0.000  0.855 x4

## Properties
**Uncorrected formation energy**: -0.24 eV per atom



No. 6
## GaSeI (PBE-GGA)

Data for GaSeI after structural relaxation.

abc: 3.994 9.318 5.631
angles: 90.00 90.00 90.00
Space group Pmn2_1 (No. 31)
Asymmetric unit:
Ga  0.000  0.107  0.000 x2
Se  0.000  0.882  0.229 x2
I  0.000  0.343  0.221 x2

## Properties
**Uncorrected formation energy**: -0.55 eV per atom



Q: Among the records above, which one has the highest uncorrected formation energy?
A: ScZnGa2I



Q: Which of these has the highest uncorrected formation energy?
A: ScZnGa2I